No. 1
# BaThIr2O8

A geometry-optimized BaThIr2O8 structure (PBE, Alexandria).

abc: 5.9340 5.9340 7.7438
angles: 90.00 90.00 120.00
Closest atoms and distances in Å follow each position.
Element x y z (fractional)
O1 0.6667 0.3333 0.9702  1 Ir 1.80
Ir1 0.3333 0.6667 0.7972  4 O 1.80-1.89
O2 0.8396 0.6698 0.3024  1 Ir 1.89
Ba1 0.0000 0.0000 0.0000  6 O 2.89
O3 0.1697 0.8396 0.6976  1 Ir 1.89
O4 0.3333 0.6667 0.0298  1 Ir 1.80
Ir2 0.6667 0.3333 0.2028  4 O 1.80-1.89
O5 0.8303 0.1604 0.3024  1 Ir 1.89
O6 0.1604 0.3302 0.6976  1 Ir 1.89
O7 0.6698 0.8303 0.6976  1 Ir 1.89
Th1 0.0000 0.0000 0.5000  6 O 2.28
O8 0.3302 0.1697 0.3024  1 Ir 1.89

Computed properties:
As for the density: 6201 kg/m3. The calculation puts the total DFT energy (no corrections) at -84.521 eV/cell. Its uncorrected formation energy is -1.483 eV/atom.

No. 2
# Ba2TiIrO

A geometry-optimized Ba2TiIrO structure (PBE, Alexandria).

abc: 6.0657 4.6875 6.0657
angles: 90.00 90.00 90.00
Closest atoms and distances in Å follow each position.
Element x y z (fractional)
Ba1 0.5000 0.0000 0.0000  2 Ir 3.03
O1 0.5000 0.5000 0.5000  8 Ba 3.83, 4 Ti 4.29
Ir1 0.0000 0.0000 0.0000  2 Ti 2.34
Ba2 0.0000 0.0000 0.5000  2 Ir 3.03
Ti1 0.0000 0.5000 0.0000  2 Ir 2.34

Computed properties:
As for the density: 5110 kg/m3. The calculation puts the total DFT energy (no corrections) at -25.275 eV/cell. Its uncorrected formation energy is 0.057 eV/atom.

No. 3
# BaTiIr2O8

A geometry-optimized BaTiIr2O8 structure (PBE, Alexandria).

abc: 5.5553 5.5553 7.4435
angles: 90.00 90.00 120.00
Closest atoms and distances in Å follow each position.
Element x y z (fractional)
Ba1 0.0000 0.0000 0.0000  12 O 2.92-3.22
O1 0.3333 0.6667 0.9687  1 Ir 1.84
O2 0.0590 0.3016 0.6661  1 Ir 1.87, 1 Ti 1.97
O3 0.2426 0.9410 0.6661  1 Ir 1.87, 1 Ti 1.97
O4 0.6667 0.3333 0.0313  1 Ir 1.84
O5 0.7574 0.0590 0.3339  1 Ir 1.87, 1 Ti 1.97
Ir1 0.6667 0.3333 0.2783  4 O 1.84-1.87
O6 0.3016 0.2426 0.3339  1 Ir 1.87, 1 Ti 1.97
O7 0.6984 0.7574 0.6661  1 Ir 1.87, 1 Ti 1.97
O8 0.9410 0.6984 0.3339  1 Ir 1.87, 1 Ti 1.97
Ti1 0.0000 0.0000 0.5000  6 O 1.97
Ir2 0.3333 0.6667 0.7217  4 O 1.84-1.87

Computed properties:
As for the density: 5823 kg/m3. The calculation puts the total DFT energy (no corrections) at -82.951 eV/cell. Its uncorrected formation energy is -1.312 eV/atom.

No. 4
# Ba2TlIr3O12

A geometry-optimized Ba2TlIr3O12 structure (PBE, Alexandria).

abc: 7.0776 7.0776 7.0776
angles: 62.00 62.00 62.00
Closest atoms and distances in Å follow each position.
Element x y z (fractional)
O1 0.1231 0.7002 0.7002  2 Ir 1.97
O2 0.2998 0.8769 0.2998  2 Ir 1.97
O3 0.1215 0.5888 0.1215  1 Ir 1.89
O4 0.8785 0.4112 0.8785  1 Ir 1.89
Ir1 0.0000 0.5000 0.0000  6 O 1.89-1.97
O5 0.8769 0.2998 0.2998  2 Ir 1.97
O6 0.1215 0.1215 0.5888  1 Ir 1.89
O7 0.7002 0.1231 0.7002  2 Ir 1.97
O8 0.8785 0.8785 0.4112  1 Ir 1.89
Ir2 0.0000 0.0000 0.5000  6 O 1.89-1.97
Ir3 0.5000 0.0000 0.0000  6 O 1.89-1.97
O9 0.2998 0.2998 0.8769  2 Ir 1.97
Tl1 0.0000 0.0000 0.0000  6 O 2.44
Ba1 0.3899 0.3899 0.3899  6 O 2.75-2.99
O10 0.5888 0.1215 0.1215  1 Ir 1.89
O11 0.7002 0.7002 0.1231  2 Ir 1.97
O12 0.4112 0.8785 0.8785  1 Ir 1.89
Ba2 0.6101 0.6101 0.6101  6 O 2.75-2.99

Computed properties:
As for the density: 7910 kg/m3. The calculation puts the total DFT energy (no corrections) at -112.808 eV/cell. Its uncorrected formation energy is -1.140 eV/atom.

No. 5
# BaTlIrO6

A geometry-optimized BaTlIrO6 structure (PBE, Alexandria).

abc: 5.7083 5.7083 5.5340
angles: 90.00 90.00 59.99
Closest atoms and distances in Å follow each position.
Element x y z (fractional)
O1 0.3477 0.0514 0.6980  1 Ir 1.91
O2 0.6008 0.3478 0.6980  1 Ir 1.91
Tl1 0.6666 0.6666 0.5000  6 O 2.31
O3 0.3478 0.6008 0.3019  1 Ir 1.91
O4 0.0513 0.6010 0.6979  1 Ir 1.91
O5 0.0514 0.3477 0.3020  1 Ir 1.91
Ba1 0.0000 0.0000 0.0000  6 O 2.72
O6 0.6010 0.0513 0.3021  1 Ir 1.91
Ir1 0.3333 0.3334 0.5000  6 O 1.91

Computed properties:
As for the density: 6699 kg/m3. The calculation puts the total DFT energy (no corrections) at -52.726 eV/cell. Its uncorrected formation energy is -1.092 eV/atom.

No. 6
# BaTl2IrO8

A geometry-optimized BaTl2IrO8 structure (PBE, Alexandria).

abc: 5.7647 4.4393 7.3267
angles: 68.58 88.49 90.27
Closest atoms and distances in Å follow each position.
Element x y z (fractional)
O1 0.2933 0.1970 0.0520  1 Ir 2.01, 1 Tl 2.22
O2 0.9264 0.3574 0.7516  1 Ir 1.99
Ir1 0.0000 0.0000 0.0000  6 O 1.84-2.01
Tl1 0.5363 0.3594 0.7937  3 O 2.22-2.41
O3 0.0736 0.6426 0.2484  1 Ir 1.99
O4 0.4749 0.1611 0.5000  1 O 1.46
O5 0.7067 0.8030 0.9480  1 Ir 2.01, 1 Tl 2.22
O6 0.5251 0.8389 0.5000  1 O 1.46
O7 0.1850 0.8267 0.8568  1 Ir 1.84
Ba1 0.0000 0.0000 0.5000  8 O 2.69-2.86
Tl2 0.4637 0.6406 0.2063  3 O 2.22-2.41
O8 0.8150 0.1733 0.1432  1 Ir 1.84

Computed properties:
As for the density: 8245 kg/m3. The calculation puts the total DFT energy (no corrections) at -65.450 eV/cell. Its uncorrected formation energy is -0.856 eV/atom.